{"formula": "Ac4NpP5", "functional": "GGA-PBE", "state": "optimized geometry", "lattice": [[-2.186, 2.186, 15.408], [2.186, -2.186, 15.408], [2.186, 2.186, -15.408]], "species": ["Ac", "Ac", "Ac", "Ac", "Np", "P", "P", "P", "P", "P"], "fractional_positions": [[0.098, 0.098, 0.000], [0.301, 0.301, 0.000], [0.699, 0.699, 0.000], [0.902, 0.902, 0.000], [0.500, 0.500, 0.000], [0.000, 0.000, 0.000], [0.199, 0.199, 0.000], [0.407, 0.407, 0.000], [0.593, 0.593, 0.000], [0.801, 0.801, 0.000]], "ef_ev_per_atom": -1.27}

{"formula": "RbSCl3", "functional": "GGA-PBE", "state": "optimized geometry", "lattice": [[5.458, 0.000, 0.000], [0.064, 8.212, 0.000], [0.213, 3.967, 7.697]], "species": ["Rb", "Rb", "S", "S", "Cl", "Cl", "Cl", "Cl", "Cl", "Cl"], "fractional_positions": [[0.236, 0.427, 0.282], [0.764, 0.573, 0.718], [0.229, 0.029, 0.770], [0.771, 0.971, 0.230], [0.124, 0.949, 0.312], [0.259, 0.713, 0.851], [0.263, 0.341, 0.699], [0.737, 0.659, 0.301], [0.741, 0.287, 0.149], [0.876, 0.051, 0.688]], "raw_formation_energy_ev_per_atom": -0.81}

{"formula": "NiPd", "functional": "GGA-PBE", "state": "optimized geometry", "lattice": [[6.819, 0.000, 0.000], [-3.410, 5.906, 0.000], [0.000, 0.000, 4.337]], "species": ["Ni", "Ni", "Ni", "Ni", "Ni", "Ni", "Pd", "Pd", "Pd", "Pd", "Pd", "Pd"], "fractional_positions": [[0.109, 0.616, 0.250], [0.384, 0.493, 0.250], [0.493, 0.109, 0.750], [0.507, 0.891, 0.250], [0.616, 0.507, 0.750], [0.891, 0.384, 0.750], [0.077, 0.803, 0.750], [0.197, 0.274, 0.750], [0.274, 0.077, 0.250], [0.726, 0.923, 0.750], [0.803, 0.726, 0.250], [0.923, 0.197, 0.250]], "ef_ev_per_atom": 0.26}

{"formula": "ReSb2RuPb", "functional": "GGA-PBE", "state": "optimized geometry", "lattice": [[5.093, 0.000, 0.000], [0.000, 5.093, 0.000], [0.000, 0.000, 4.924]], "species": ["Re", "Sb", "Sb", "Ru", "Pb"], "fractional_positions": [[0.000, 0.000, 0.000], [0.000, 0.500, 0.500], [0.500, 0.000, 0.500], [0.000, 0.000, 0.500], [0.500, 0.500, 0.000]], "raw_formation_energy_ev_per_atom": 1.03}

{"formula": "LaHg5Pd", "functional": "GGA-PBE", "state": "optimized geometry", "lattice": [[4.936, 0.000, 0.000], [0.000, 4.936, 0.000], [0.000, 0.000, 7.307]], "species": ["La", "Hg", "Hg", "Hg", "Hg", "Hg", "Pd"], "fractional_positions": [[0.000, 0.000, 0.000], [0.000, 0.500, 0.297], [0.000, 0.500, 0.703], [0.500, 0.000, 0.297], [0.500, 0.000, 0.703], [0.500, 0.500, 0.000], [0.000, 0.000, 0.500]], "ef_ev_per_atom": -0.33}

{"formula": "ThPaB4", "functional": "GGA-PBE", "state": "optimized geometry", "lattice": [[6.224, 0.000, 0.000], [0.000, 12.075, 0.000], [0.000, 0.000, 4.204]], "species": ["Th", "Th", "Th", "Th", "Pa", "Pa", "Pa", "Pa", "B", "B", "B", "B", "B", "B", "B", "B", "B", "B", "B", "B", "B", "B", "B", "B"], "fractional_positions": [[0.124, 0.153, 0.000], [0.376, 0.653, 0.000], [0.624, 0.347, 0.000], [0.876, 0.847, 0.000], [0.132, 0.413, 0.000], [0.368, 0.913, 0.000], [0.632, 0.087, 0.000], [0.868, 0.587, 0.000], [0.027, 0.694, 0.500], [0.119, 0.549, 0.500], [0.129, 0.970, 0.500], [0.207, 0.812, 0.500], [0.293, 0.312, 0.500], [0.371, 0.470, 0.500], [0.381, 0.049, 0.500], [0.473, 0.194, 0.500], [0.527, 0.806, 0.500], [0.619, 0.951, 0.500], [0.629, 0.530, 0.500], [0.707, 0.688, 0.500], [0.793, 0.188, 0.500], [0.871, 0.030, 0.500], [0.881, 0.451, 0.500], [0.973, 0.306, 0.500]], "ef_ev_per_atom": -0.28}

{"formula": "Tb3ErCo2", "functional": "GGA-PBE", "state": "optimized geometry", "lattice": [[-3.270, 6.594, 3.458], [3.270, -6.594, 3.458], [3.270, 6.594, -3.458]], "species": ["Tb", "Tb", "Tb", "Tb", "Tb", "Tb", "Er", "Er", "Co", "Co", "Co", "Co"], "fractional_positions": [[0.016, 0.750, 0.266], [0.250, 0.250, 0.000], [0.484, 0.750, 0.734], [0.516, 0.250, 0.266], [0.750, 0.750, 0.000], [0.984, 0.250, 0.734], [0.000, 0.500, 0.500], [0.500, 0.000, 0.500], [0.136, 0.221, 0.356], [0.364, 0.721, 0.085], [0.636, 0.279, 0.915], [0.864, 0.779, 0.644]], "ef_ev_per_atom": -0.06}

{"formula": "AcInAgSn", "functional": "GGA-PBE", "state": "optimized geometry", "lattice": [[0.000, 3.839, 3.839], [3.839, 0.000, 3.839], [3.839, 3.839, 0.000]], "species": ["Ac", "In", "Ag", "Sn"], "fractional_positions": [[0.000, 0.000, 0.000], [0.500, 0.500, 0.500], [0.750, 0.750, 0.750], [0.250, 0.250, 0.250]], "ef_ev_per_atom": -0.26}